1.
# CoSi17Ge13P | OQMD | PBE | relaxed
data_CoSi17Ge13P
_space_group_name_H-M_alt 'P 1'
_space_group_IT_number 1
_cell_length_a 6.832
_cell_length_b 10.305
_cell_length_c 10.311
_cell_angle_alpha 81.62
_cell_angle_beta 71.27
_cell_angle_gamma 83.63
loop_
_space_group_symop_operation_xyz
'x,y,z'
loop_
_atom_site_label
_atom_site_fract_x
_atom_site_fract_y
_atom_site_fract_z
Co1 0.000 0.000 0.000
Si1 0.025 0.760 0.751
Si2 0.025 0.879 0.366
Si3 0.029 0.260 0.246
Si4 0.033 0.640 0.118
Si5 0.146 0.717 0.515
Si6 0.147 0.851 0.124
Si7 0.149 0.589 0.890
Si8 0.155 0.464 0.256
Si9 0.158 0.954 0.785
Si10 0.519 0.827 0.058
Si11 0.522 0.448 0.183
Si12 0.523 0.940 0.685
Si13 0.529 0.320 0.562
Si14 0.650 0.520 0.577
Si15 0.652 0.396 0.956
Si16 0.657 0.778 0.827
Si17 0.659 0.895 0.452
Ge1 0.024 0.512 0.494
Ge2 0.026 0.381 0.880
Ge3 0.033 0.122 0.633
Ge4 0.142 0.184 0.019
Ge5 0.147 0.082 0.387
Ge6 0.155 0.335 0.639
Ge7 0.521 0.695 0.439
Ge8 0.526 0.190 0.943
Ge9 0.526 0.571 0.813
Ge10 0.530 0.064 0.307
Ge11 0.652 0.142 0.702
Ge12 0.655 0.276 0.324
Ge13 0.655 0.652 0.195
P1 0.664 0.013 0.075
# raw total energy: -5.111 eV/atom

2.
# CoSi16Ge12P3 | OQMD | PBE | relaxed
data_CoSi16Ge12P3
_space_group_name_H-M_alt 'P 1'
_space_group_IT_number 1
_cell_length_a 6.767
_cell_length_b 10.254
_cell_length_c 10.366
_cell_angle_alpha 81.04
_cell_angle_beta 71.28
_cell_angle_gamma 83.27
loop_
_space_group_symop_operation_xyz
'x,y,z'
loop_
_atom_site_label
_atom_site_fract_x
_atom_site_fract_y
_atom_site_fract_z
Co1 0.000 0.000 0.000
Si1 0.020 0.764 0.762
Si2 0.020 0.881 0.378
Si3 0.027 0.645 0.133
Si4 0.030 0.261 0.259
Si5 0.130 0.858 0.140
Si6 0.135 0.717 0.531
Si7 0.143 0.593 0.906
Si8 0.144 0.466 0.273
Si9 0.503 0.830 0.077
Si10 0.507 0.942 0.698
Si11 0.514 0.445 0.198
Si12 0.523 0.319 0.580
Si13 0.643 0.524 0.592
Si14 0.647 0.783 0.843
Si15 0.647 0.903 0.463
Si16 0.648 0.396 0.972
Ge1 0.019 0.510 0.509
Ge2 0.024 0.380 0.900
Ge3 0.029 0.120 0.645
Ge4 0.132 0.178 0.041
Ge5 0.147 0.334 0.660
Ge6 0.149 0.082 0.403
Ge7 0.513 0.699 0.450
Ge8 0.518 0.188 0.966
Ge9 0.522 0.573 0.828
Ge10 0.641 0.141 0.724
Ge11 0.648 0.650 0.209
Ge12 0.649 0.271 0.342
P1 0.146 0.951 0.795
P2 0.526 0.064 0.318
P3 0.675 0.008 0.089
# raw total energy: -5.146 eV/atom

3.
# Co2SiGeP4 | OQMD | PBE | relaxed
data_Co2SiGeP4
_space_group_name_H-M_alt 'I -4'
_space_group_IT_number 82
_cell_length_a 5.147
_cell_length_b 5.147
_cell_length_c 10.421
_cell_angle_alpha 90.00
_cell_angle_beta 90.00
_cell_angle_gamma 90.00
loop_
_space_group_symop_operation_xyz
'x,y,z'
'y,-x,-z'
'-x,-y,z'
'-y,x,-z'
'x+1/2,y+1/2,z+1/2'
'y+1/2,-x+1/2,-z+1/2'
'-x+1/2,-y+1/2,z+1/2'
'-y+1/2,x+1/2,-z+1/2'
loop_
_atom_site_label
_atom_site_fract_x
_atom_site_fract_y
_atom_site_fract_z
Co1 0.000 0.000 0.000
Co2 0.000 0.500 0.250
Si1 0.000 0.000 0.500
Ge1 0.000 0.500 0.750
P1 0.219 0.259 0.121
# raw total energy: -5.902 eV/atom

4.
# CoSi17Ge13P | OQMD | PBE | relaxed
data_CoSi17Ge13P
_space_group_name_H-M_alt 'P 1 m 1'
_space_group_IT_number 6
_cell_length_a 5.535
_cell_length_b 3.957
_cell_length_c 31.115
_cell_angle_alpha 90.00
_cell_angle_beta 90.01
_cell_angle_gamma 90.00
loop_
_space_group_symop_operation_xyz
'x,y,z'
'x,-y,z'
loop_
_atom_site_label
_atom_site_fract_x
_atom_site_fract_y
_atom_site_fract_z
Co1 0.000 0.000 0.000
Si1 0.234 0.500 0.625
Si2 0.242 0.500 0.377
Si3 0.243 0.500 0.124
Si4 0.488 0.500 0.686
Si5 0.491 0.500 0.186
Si6 0.491 0.500 0.438
Si7 0.496 0.500 0.941
Si8 0.729 0.000 0.441
Si9 0.731 0.000 0.186
Si10 0.731 0.000 0.686
Si11 0.738 0.000 0.946
Si12 0.745 0.000 0.812
Si13 0.748 0.000 0.055
Si14 0.979 0.000 0.748
Si15 0.981 0.000 0.247
Si16 0.982 0.000 0.502
Si17 0.994 0.000 0.625
Ge1 0.202 0.500 0.000
Ge2 0.230 0.500 0.248
Ge3 0.231 0.500 0.748
Ge4 0.232 0.500 0.500
Ge5 0.245 0.500 0.878
Ge6 0.481 0.500 0.313
Ge7 0.494 0.500 0.812
Ge8 0.495 0.500 0.061
Ge9 0.504 0.500 0.564
Ge10 0.742 0.000 0.312
Ge11 0.979 0.000 0.879
Ge12 0.990 0.000 0.122
Ge13 0.993 0.000 0.378
P1 0.751 0.000 0.564
# raw total energy: -5.084 eV/atom

5.
# CoSi17Ge13P | OQMD | PBE | relaxed
data_CoSi17Ge13P
_space_group_name_H-M_alt 'P 1 m 1'
_space_group_IT_number 6
_cell_length_a 5.546
_cell_length_b 3.946
_cell_length_c 31.080
_cell_angle_alpha 90.00
_cell_angle_beta 90.03
_cell_angle_gamma 90.00
loop_
_space_group_symop_operation_xyz
'x,y,z'
'x,-y,z'
loop_
_atom_site_label
_atom_site_fract_x
_atom_site_fract_y
_atom_site_fract_z
Co1 0.000 0.000 0.000
Si1 0.196 0.500 0.628
Si2 0.203 0.500 0.121
Si3 0.206 0.500 0.376
Si4 0.450 0.500 0.183
Si5 0.451 0.500 0.946
Si6 0.454 0.500 0.688
Si7 0.457 0.500 0.438
Si8 0.693 0.000 0.182
Si9 0.695 0.000 0.439
Si10 0.697 0.000 0.690
Si11 0.702 0.000 0.952
Si12 0.706 0.000 0.817
Si13 0.716 0.000 0.050
Si14 0.941 0.000 0.245
Si15 0.941 0.000 0.753
Si16 0.945 0.000 0.500
Si17 0.956 0.000 0.629
Ge1 0.192 0.500 0.246
Ge2 0.194 0.500 0.499
Ge3 0.195 0.500 0.751
Ge4 0.206 0.500 0.882
Ge5 0.443 0.500 0.312
Ge6 0.445 0.500 0.565
Ge7 0.454 0.500 0.816
Ge8 0.455 0.500 0.057
Ge9 0.706 0.000 0.310
Ge10 0.707 0.000 0.565
Ge11 0.937 0.000 0.884
Ge12 0.948 0.000 0.118
Ge13 0.957 0.000 0.376
P1 0.163 0.500 0.000
# raw total energy: -5.132 eV/atom

6.
# CoSi17Ge13P | OQMD | PBE | relaxed
data_CoSi17Ge13P
_space_group_name_H-M_alt 'P 1 m 1'
_space_group_IT_number 6
_cell_length_a 5.531
_cell_length_b 3.916
_cell_length_c 31.220
_cell_angle_alpha 90.00
_cell_angle_beta 90.52
_cell_angle_gamma 90.00
loop_
_space_group_symop_operation_xyz
'x,y,z'
'x,-y,z'
loop_
_atom_site_label
_atom_site_fract_x
_atom_site_fract_y
_atom_site_fract_z
Co1 0.000 0.000 0.000
Si1 0.015 0.000 0.124
Si2 0.016 0.000 0.379
Si3 0.018 0.000 0.629
Si4 0.029 0.000 0.887
Si5 0.235 0.000 0.058
Si6 0.265 0.000 0.319
Si7 0.276 0.000 0.569
Si8 0.516 0.500 0.570
Si9 0.529 0.500 0.442
Si10 0.530 0.500 0.189
Si11 0.530 0.500 0.691
Si12 0.769 0.500 0.753
Si13 0.770 0.500 0.127
Si14 0.777 0.500 0.381
Si15 0.777 0.500 0.630
Si16 0.784 0.500 0.884
Si17 0.817 0.500 0.010
Ge1 0.020 0.000 0.755
Ge2 0.028 0.000 0.506
Ge3 0.029 0.000 0.254
Ge4 0.271 0.000 0.821
Ge5 0.276 0.000 0.188
Ge6 0.278 0.000 0.441
Ge7 0.278 0.000 0.691
Ge8 0.500 0.500 0.065
Ge9 0.515 0.500 0.319
Ge10 0.535 0.500 0.948
Ge11 0.538 0.500 0.819
Ge12 0.764 0.500 0.506
Ge13 0.765 0.500 0.254
P1 0.262 0.000 0.949
# raw total energy: -5.111 eV/atom

7.
# SrCo2GeP | OQMD | PBE | relaxed
data_SrCo2GeP
_space_group_name_H-M_alt 'I 4 m m'
_space_group_IT_number 107
_space_group_name_Hall 'I 4 -2'
_cell_length_a 3.820
_cell_length_b 3.820
_cell_length_c 11.764
_cell_angle_alpha 90.00
_cell_angle_beta 90.00
_cell_angle_gamma 90.00
loop_
_atom_site_label
_atom_site_fract_x
_atom_site_fract_y
_atom_site_fract_z
Sr1 0.000 0.000 0.000
Co1 0.000 0.500 0.234
Ge1 0.000 0.000 0.350
P1 0.000 0.000 0.642
# raw total energy: -5.815 eV/atom

8.
# YCo2GeP | OQMD | PBE | relaxed
data_YCo2GeP
_space_group_name_H-M_alt 'I 4 m m'
_space_group_IT_number 107
_space_group_name_Hall 'I 4 -2'
_cell_length_a 3.913
_cell_length_b 3.913
_cell_length_c 9.749
_cell_angle_alpha 90.00
_cell_angle_beta 90.00
_cell_angle_gamma 90.00
loop_
_atom_site_label
_atom_site_fract_x
_atom_site_fract_y
_atom_site_fract_z
Y1 0.000 0.000 0.000
Co1 0.000 0.500 0.262
Ge1 0.000 0.000 0.629
P1 0.000 0.000 0.370
# raw total energy: -6.972 eV/atom

9.
# PaCoGe | OQMD | PBE | relaxed
data_PaCoGe
_space_group_name_H-M_alt 'F -4 3 m'
_space_group_IT_number 216
_space_group_name_Hall 'F -4 2 3'
_cell_length_a 6.411
_cell_length_b 6.411
_cell_length_c 6.411
_cell_angle_alpha 90.00
_cell_angle_beta 90.00
_cell_angle_gamma 90.00
loop_
_atom_site_label
_atom_site_fract_x
_atom_site_fract_y
_atom_site_fract_z
Pa1 0.000 0.000 0.000
Co1 0.250 0.250 0.250
Ge1 0.250 0.250 0.750
# raw total energy: -6.670 eV/atom

10.
# PaCoGe | OQMD | PBE | relaxed
data_PaCoGe
_space_group_name_H-M_alt 'F -4 3 m'
_space_group_IT_number 216
_space_group_name_Hall 'F -4 2 3'
_cell_length_a 6.239
_cell_length_b 6.239
_cell_length_c 6.239
_cell_angle_alpha 90.00
_cell_angle_beta 90.00
_cell_angle_gamma 90.00
loop_
_atom_site_label
_atom_site_fract_x
_atom_site_fract_y
_atom_site_fract_z
Pa1 0.000 0.000 0.000
Co1 0.000 0.000 0.500
Ge1 0.250 0.250 0.750
# raw total energy: -6.964 eV/atom

11.
# Co2Ge2Pb | OQMD | PBE | relaxed
data_Co2Ge2Pb
_space_group_name_H-M_alt 'P m m a'
_space_group_IT_number 51
_cell_length_a 5.632
_cell_length_b 3.677
_cell_length_c 8.222
_cell_angle_alpha 90.00
_cell_angle_beta 90.00
_cell_angle_gamma 90.00
loop_
_space_group_symop_operation_xyz
'x,y,z'
'-x,-y,-z'
'-x+1/2,-y,z'
'x+1/2,y,-z'
'x+1/2,-y,-z'
'-x+1/2,y,z'
'-x,y,-z'
'x,-y,z'
loop_
_atom_site_label
_atom_site_fract_x
_atom_site_fract_y
_atom_site_fract_z
Co1 0.000 0.000 0.000
Co2 0.250 0.000 0.270
Ge1 0.250 0.000 0.765
Ge2 0.250 0.500 0.091
Pb1 0.000 0.500 0.500
# raw total energy: -5.247 eV/atom

12.
# CoGePb2 | OQMD | PBE | relaxed
data_CoGePb2
_space_group_name_H-M_alt 'F -4 3 m'
_space_group_IT_number 216
_space_group_name_Hall 'F -4 2 3'
_cell_length_a 7.077
_cell_length_b 7.077
_cell_length_c 7.077
_cell_angle_alpha 90.00
_cell_angle_beta 90.00
_cell_angle_gamma 90.00
loop_
_atom_site_label
_atom_site_fract_x
_atom_site_fract_y
_atom_site_fract_z
Co1 0.000 0.000 0.000
Ge1 0.250 0.250 0.750
Pb1 0.000 0.000 0.500
Pb2 0.250 0.250 0.250
# raw total energy: -4.151 eV/atom

> What is the formula in the eighth record?

YCo2GeP